(1)
VASP calculation (GGA-PBE) on a relaxed structure of PuScPb2.

Cell lengths 4.5976, 4.5976, 7.2765 Å; angles 71.58, 71.58, 60.00 degrees
Closest atoms and distances in Å follow each position.
Atoms (fractional coordinates):
Pu (0.6695, 0.6695, 0.9916)  6 Pb 3.20-3.24, 1 Sc 3.53
Sc (0.4958, 0.4958, 0.5127)  6 Pb 3.03-3.13
Pb (0.0904, 0.0904, 0.7288)  3 Sc 3.03, 1 Pb 3.13, 3 Pu 3.20
Pb (0.2444, 0.2444, 0.2669)  1 Pb 3.13, 3 Sc 3.13, 3 Pu 3.24

Space-group type ... No. 160
Energy of formation from the pure elements ... -0.015 eV/atom
Energy above the most stable polymorph in this dataset ... 239.0 meV/atom
D(E_F) ... 16.5 states/eV per cell
Theoretical density ... 9.42 Mg/m³



(2)
VASP calculation (GGA-PBE) on a relaxed structure of PuSc2Pb.

Cell lengths 3.3631, 3.3631, 10.5714 Å; angles 80.85, 80.85, 60.00 degrees
Closest atoms and distances in Å follow each position.
Atoms (fractional coordinates):
Pu (0.4999, 0.4999, 0.5002)  6 Sc 3.27, 6 Pu 3.36
Sc (0.0823, 0.0823, 0.7532)  3 Pb 3.22, 3 Pu 3.27, 6 Sc 3.36
Sc (0.2512, 0.2512, 0.2465)  3 Pb 3.21, 3 Pu 3.27, 6 Sc 3.36
Pb (0.6666, 0.6666, 0.0001)  6 Sc 3.21-3.22, 6 Pb 3.36

Space-group type ... No. 160
Energy of formation from the pure elements ... -0.061 eV/atom
Energy above the most stable polymorph in this dataset ... 114.5 meV/atom
D(E_F) ... 9.0 states/eV per cell
Theoretical density ... 8.83 Mg/m³



(3)
VASP calculation (GGA-PBE) on a relaxed structure of PuScZnPb.

Cell lengths 5.1465, 5.1465, 5.1465 Å; angles 60.00, 60.00, 60.00 degrees
Closest atoms and distances in Å follow each position.
Atoms (fractional coordinates):
Pb (0.7500, 0.7500, 0.7500)  4 Pu 3.15, 4 Sc 3.15
Sc (0.0000, 0.0000, 0.0000)  4 Pb 3.15, 4 Zn 3.15
Zn (0.2500, 0.2500, 0.2500)  4 Sc 3.15, 4 Pu 3.15
Pu (0.5000, 0.5000, 0.5000)  4 Zn 3.15, 4 Pb 3.15

Space-group type ... No. 216
Energy of formation from the pure elements ... -0.172 eV/atom
D(E_F) ... 9.4 states/eV per cell
Theoretical density ... 9.67 Mg/m³



(4)
VASP calculation (GGA-PBE) on a relaxed structure of Pu3Pb5Se12.

Cell lengths 14.7886, 14.7886, 14.7886 Å; angles 109.47, 109.47, 109.47 degrees
Closest atoms and distances in Å follow each position.
Atoms (fractional coordinates):
Pu (0.7500, 0.3750, 0.1250)  8 Se 3.08-3.10
Pu (0.8750, 0.7500, 0.1250)  8 Se 3.08-3.10
Pu (0.3750, 0.7500, 0.6250)  8 Se 3.08-3.10
Pu (0.2500, 0.1250, 0.3750)  8 Se 3.08-3.10
Pu (0.8750, 0.1250, 0.2500)  8 Se 3.08-3.10
Pu (0.3750, 0.6250, 0.2500)  8 Se 3.08-3.10
Pu (0.6250, 0.3750, 0.7500)  8 Se 3.08-3.10
Pu (0.1250, 0.8750, 0.7500)  8 Se 3.08-3.10
Pu (0.7500, 0.8750, 0.6250)  8 Se 3.08-3.10
Pu (0.6250, 0.2500, 0.3750)  8 Se 3.08-3.10
Pu (0.1250, 0.2500, 0.8750)  8 Se 3.08-3.10
Pu (0.2500, 0.6250, 0.8750)  8 Se 3.08-3.10
Pb (0.1250, 0.3750, 0.2500)  4 Se 2.79
Pb (0.0000, 0.5000, 0.0000)  6 Se 2.96
Pb (0.0000, 0.0000, 0.0000)  6 Se 2.96
Pb (0.3750, 0.2500, 0.1250)  4 Se 2.79
Pb (0.5000, 0.0000, 0.5000)  6 Se 2.96
Pb (0.5000, 0.5000, 0.0000)  6 Se 2.96
Pb (0.1250, 0.7500, 0.3750)  4 Se 2.79
Pb (0.7500, 0.1250, 0.8750)  4 Se 2.79
Pb (0.7500, 0.6250, 0.3750)  4 Se 2.79
Pb (0.3750, 0.1250, 0.7500)  4 Se 2.79
Pb (0.6250, 0.8750, 0.2500)  4 Se 2.79
Pb (0.5000, 0.5000, 0.5000)  6 Se 2.96
Pb (0.5000, 0.0000, 0.0000)  6 Se 2.96
Pb (0.0000, 0.0000, 0.5000)  6 Se 2.96
Pb (0.2500, 0.3750, 0.6250)  4 Se 2.79
Pb (0.2500, 0.8750, 0.1250)  4 Se 2.79
Pb (0.0000, 0.5000, 0.5000)  6 Se 2.96
Pb (0.8750, 0.2500, 0.6250)  4 Se 2.79
Pb (0.6250, 0.7500, 0.8750)  4 Se 2.79
Pb (0.8750, 0.6250, 0.7500)  4 Se 2.79
Se (0.7293, 0.1441, 0.0603)  2 Pb 2.79-2.96, 2 Pu 3.08-3.10, 1 Se 3.12
Se (0.3309, 0.5603, 0.4162)  2 Pb 2.79-2.96, 2 Pu 3.08-3.10, 1 Se 3.12
Se (0.9397, 0.3559, 0.2707)  2 Pb 2.79-2.96, 2 Pu 3.08-3.10, 1 Se 3.12
Se (0.5603, 0.2293, 0.1441)  2 Pb 2.79-2.96, 2 Pu 3.08-3.10, 1 Se 3.12
Se (0.5853, 0.7293, 0.6691)  2 Pb 2.79-2.96, 2 Pu 3.08-3.10, 1 Se 3.12
Se (0.9397, 0.5838, 0.1691)  2 Pb 2.79-2.96, 2 Pu 3.08-3.10, 1 Se 3.12
Se (0.3309, 0.7707, 0.4147)  2 Pb 2.79-2.96, 2 Pu 3.08-3.10, 1 Se 3.12
Se (0.0838, 0.9147, 0.1441)  2 Pb 2.79-2.96, 2 Pu 3.08-3.10, 1 Se 3.12
Se (0.5838, 0.9397, 0.6691)  2 Pb 2.79-2.96, 2 Pu 3.08-3.10, 1 Se 3.12
Se (0.7293, 0.5853, 0.1691)  2 Pb 2.79-2.96, 2 Pu 3.08-3.10, 1 Se 3.12
Se (0.7707, 0.4397, 0.3559)  2 Pb 2.79-2.96, 2 Pu 3.08-3.10, 1 Se 3.12
Se (0.8309, 0.9162, 0.0603)  2 Pb 2.79-2.96, 2 Pu 3.08-3.10, 1 Se 3.12
Se (0.1441, 0.7293, 0.5603)  2 Pb 2.79-2.96, 2 Pu 3.08-3.10, 1 Se 3.12
Se (0.3559, 0.4162, 0.0853)  2 Pb 2.79-2.96, 2 Pu 3.08-3.10, 1 Se 3.12
Se (0.0853, 0.9162, 0.3559)  2 Pb 2.79-2.96, 2 Pu 3.08-3.10, 1 Se 3.12
Se (0.4147, 0.1441, 0.5838)  2 Pb 2.79-2.96, 2 Pu 3.08-3.10, 1 Se 3.12
Se (0.0853, 0.1691, 0.2293)  2 Pb 2.79-2.96, 2 Pu 3.08-3.10, 1 Se 3.12
Se (0.4397, 0.6691, 0.0838)  2 Pb 2.79-2.96, 2 Pu 3.08-3.10, 1 Se 3.12
Se (0.8309, 0.9147, 0.2707)  2 Pb 2.79-2.96, 2 Pu 3.08-3.10, 1 Se 3.12
Se (0.1441, 0.4147, 0.0838)  2 Pb 2.79-2.96, 2 Pu 3.08-3.10, 1 Se 3.12
Se (0.3559, 0.9397, 0.7707)  2 Pb 2.79-2.96, 2 Pu 3.08-3.10, 1 Se 3.12
Se (0.5838, 0.6441, 0.4147)  2 Pb 2.79-2.96, 2 Pu 3.08-3.10, 1 Se 3.12
Se (0.9162, 0.8309, 0.5603)  2 Pb 2.79-2.96, 2 Pu 3.08-3.10, 1 Se 3.12
Se (0.7707, 0.3309, 0.9147)  2 Pb 2.79-2.96, 2 Pu 3.08-3.10, 1 Se 3.12
Se (0.4162, 0.3559, 0.5853)  2 Pb 2.79-2.96, 2 Pu 3.08-3.10, 1 Se 3.12
Se (0.0838, 0.1691, 0.4397)  2 Pb 2.79-2.96, 2 Pu 3.08-3.10, 1 Se 3.12
Se (0.2293, 0.6691, 0.0853)  2 Pb 2.79-2.96, 2 Pu 3.08-3.10, 1 Se 3.12
Se (0.1691, 0.0853, 0.7293)  2 Pb 2.79-2.96, 2 Pu 3.08-3.10, 1 Se 3.12
Se (0.6441, 0.0603, 0.2293)  2 Pb 2.79-2.96, 2 Pu 3.08-3.10, 1 Se 3.12
Se (0.8559, 0.5853, 0.9162)  2 Pb 2.79-2.96, 2 Pu 3.08-3.10, 1 Se 3.12
Se (0.5603, 0.3309, 0.9162)  2 Pb 2.79-2.96, 2 Pu 3.08-3.10, 1 Se 3.12
Se (0.5853, 0.8559, 0.4162)  2 Pb 2.79-2.96, 2 Pu 3.08-3.10, 1 Se 3.12
Se (0.9147, 0.8309, 0.7707)  2 Pb 2.79-2.96, 2 Pu 3.08-3.10, 1 Se 3.12
Se (0.9147, 0.0838, 0.6441)  2 Pb 2.79-2.96, 2 Pu 3.08-3.10, 1 Se 3.12
Se (0.8559, 0.2707, 0.4397)  2 Pb 2.79-2.96, 2 Pu 3.08-3.10, 1 Se 3.12
Se (0.1691, 0.0838, 0.9397)  2 Pb 2.79-2.96, 2 Pu 3.08-3.10, 1 Se 3.12
Se (0.6441, 0.5838, 0.9147)  2 Pb 2.79-2.96, 2 Pu 3.08-3.10, 1 Se 3.12
Se (0.4162, 0.0603, 0.3309)  2 Pb 2.79-2.96, 2 Pu 3.08-3.10, 1 Se 3.12
Se (0.2707, 0.4147, 0.8309)  2 Pb 2.79-2.96, 2 Pu 3.08-3.10, 1 Se 3.12
Se (0.2293, 0.5603, 0.6441)  2 Pb 2.79-2.96, 2 Pu 3.08-3.10, 1 Se 3.12
Se (0.9162, 0.0853, 0.8559)  2 Pb 2.79-2.96, 2 Pu 3.08-3.10, 1 Se 3.12
Se (0.6691, 0.2293, 0.5853)  2 Pb 2.79-2.96, 2 Pu 3.08-3.10, 1 Se 3.12
Se (0.4397, 0.7707, 0.8559)  2 Pb 2.79-2.96, 2 Pu 3.08-3.10, 1 Se 3.12
Se (0.0603, 0.4162, 0.8309)  2 Pb 2.79-2.96, 2 Pu 3.08-3.10, 1 Se 3.12
Se (0.4147, 0.2707, 0.3309)  2 Pb 2.79-2.96, 2 Pu 3.08-3.10, 1 Se 3.12
Se (0.0603, 0.6441, 0.7293)  2 Pb 2.79-2.96, 2 Pu 3.08-3.10, 1 Se 3.12
Se (0.6691, 0.4397, 0.5838)  2 Pb 2.79-2.96, 2 Pu 3.08-3.10, 1 Se 3.12
Se (0.2707, 0.8559, 0.9397)  2 Pb 2.79-2.96, 2 Pu 3.08-3.10, 1 Se 3.12

Space-group type ... No. 230
D(E_F) ... 117.9 states/eV per cell
ΔE_f (raw) ... -0.646 eV per atom
Theoretical density ... 7.24 Mg/m³



(5)
VASP calculation (GGA-PBE) on a relaxed structure of PuPbSe.

Cell lengths 3.8785, 3.8785, 6.4919 Å; angles 107.38, 107.38, 90.00 degrees
Closest atoms and distances in Å follow each position.
Atoms (fractional coordinates):
Pb (0.0126, 0.0126, 0.0252)  1 Se 3.13
Se (0.2782, 0.2782, 0.5564)  4 Pu 2.86, 1 Pb 3.13
Pu (0.7092, 0.7092, 0.4184)  4 Se 2.86

Space-group type ... No. 107
Energy above the most stable polymorph in this dataset ... 192.3 meV/atom
D(E_F) ... 9.9 states/eV per cell
ΔE_f (raw) ... -0.625 eV per atom
Theoretical density ... 9.95 Mg/m³



(6)
VASP calculation (GGA-PBE) on a relaxed structure of Pu2PbSe.

Cell lengths 3.4329, 5.4790, 5.4790 Å; angles 90.00, 90.00, 90.00 degrees
Closest atoms and distances in Å follow each position.
Atoms (fractional coordinates):
Pb (0.5000, 0.0000, 0.0000)  8 Pu 3.23, 2 Pb 3.43
Se (0.5000, 0.5000, 0.5000)  8 Pu 3.23, 2 Se 3.43
Pu (0.0000, 0.0000, 0.5000)  4 Se 3.23, 4 Pb 3.23, 2 Pu 3.43
Pu (0.0000, 0.5000, 0.0000)  4 Se 3.23, 4 Pb 3.23, 2 Pu 3.43

Space-group type ... No. 123
Energy above the most stable polymorph in this dataset ... 152.3 meV/atom
D(E_F) ... 18.1 states/eV per cell
ΔE_f (raw) ... -0.578 eV per atom
Theoretical density ... 12.47 Mg/m³



(7)
VASP calculation (GGA-PBE) on a relaxed structure of Pu2PbSe.

Cell lengths 3.5058, 3.5058, 8.2924 Å; angles 90.00, 90.00, 90.00 degrees
Closest atoms and distances in Å follow each position.
Atoms (fractional coordinates):
Pb (0.5000, 0.5000, 0.5000)  8 Pu 3.41, 4 Pb 3.51
Se (0.5000, 0.5000, 0.0000)  8 Pu 3.07
Pu (0.0000, 0.0000, 0.7822)  4 Se 3.07, 4 Pb 3.41
Pu (0.0000, 0.0000, 0.2178)  4 Se 3.07, 4 Pb 3.41

Space-group type ... No. 123
Energy above the most stable polymorph in this dataset ... 0.0 meV/atom
D(E_F) ... 13.3 states/eV per cell
ΔE_f (raw) ... -0.730 eV per atom
Theoretical density ... 12.61 Mg/m³



(8)
VASP calculation (GGA-PBE) on a relaxed structure of Pu3Pb4Se8.

Cell lengths 8.5427, 8.5735, 8.5735 Å; angles 89.78, 120.14, 120.14 degrees
Closest atoms and distances in Å follow each position.
Atoms (fractional coordinates):
Pu (0.5000, 0.5000, 0.0000)  6 Se 3.01-3.04
Pu (0.5000, 0.0000, 0.5000)  6 Se 3.01-3.04
Pu (0.5000, 0.5000, 0.5000)  6 Se 2.92-2.93
Pb (0.5000, 0.0000, 0.0000)  6 Se 3.11-3.16
Pb (0.0000, 0.5000, 0.0000)  6 Se 3.01-3.04
Pb (0.0000, 0.0000, 0.0000)  6 Se 3.07-3.08
Pb (0.0000, 0.0000, 0.5000)  6 Se 3.01-3.04
Se (0.5104, 0.2650, 0.2650)  3 Pu 2.92-3.03, 2 Pb 3.08-3.16
Se (0.0000, 0.7452, 0.2548)  2 Pu 3.01, 3 Pb 3.04-3.08
Se (0.0161, 0.2609, 0.2609)  1 Pu 2.92, 4 Pb 3.03-3.11
Se (0.5000, 0.7422, 0.2578)  3 Pu 2.93-3.04, 3 Pb 3.01-3.12
Se (0.5000, 0.2578, 0.7422)  3 Pu 2.93-3.04, 3 Pb 3.01-3.12
Se (0.9839, 0.7391, 0.7391)  1 Pu 2.92, 4 Pb 3.03-3.11
Se (0.0000, 0.2548, 0.7452)  2 Pu 3.01, 3 Pb 3.04-3.08
Se (0.4896, 0.7350, 0.7350)  3 Pu 2.92-3.03, 2 Pb 3.08-3.16

Space-group type ... No. 12
D(E_F) ... 42.2 states/eV per cell
ΔE_f (raw) ... -0.921 eV per atom
Theoretical density ... 8.22 Mg/m³